Arrangement P

{
  "formula": "Si3Mo",
  "functional": "PBE",
  "state": "relaxed",
  "cell": [[3.820, 0.000, 0.000], [0.000, 3.820, 0.000], [0.000, 0.000, 3.820]],
  "species": ["Si", "Si", "Si", "Mo"],
  "fractional_positions": [[0.000, 0.000, 0.500], [0.000, 0.500, 0.000], [0.500, 0.000, 0.000], [0.500, 0.500, 0.500]],
  "n_ef_per_ev_fu": 2.0,
  "volume_a3_per_cell": 55.7
}

Arrangement Q

{
  "formula": "Si3Mo",
  "functional": "PBE",
  "state": "relaxed",
  "cell": [[3.367, 0.000, 0.000], [0.000, 4.560, 0.000], [0.000, 0.000, 7.599]],
  "species": ["Si", "Si", "Si", "Si", "Si", "Si", "Mo", "Mo"],
  "fractional_positions": [[0.000, 0.000, 0.000], [0.000, 0.500, 0.251], [0.000, 0.500, 0.749], [0.500, 0.000, 0.251], [0.500, 0.000, 0.749], [0.500, 0.500, 0.000], [0.000, 0.000, 0.500], [0.500, 0.500, 0.500]],
  "n_ef_per_ev_fu": 0.9,
  "volume_a3_per_cell": 116.7
}

Arrangement R

{
  "formula": "Si3Mo",
  "functional": "PBE",
  "state": "relaxed",
  "cell": [[4.493, 0.000, 0.000], [0.000, 5.075, 0.000], [0.000, 0.000, 4.987]],
  "species": ["Si", "Si", "Si", "Si", "Si", "Si", "Mo", "Mo"],
  "fractional_positions": [[0.250, 0.002, 0.166], [0.250, 0.498, 0.166], [0.250, 0.750, 0.604], [0.750, 0.250, 0.396], [0.750, 0.502, 0.834], [0.750, 0.998, 0.834], [0.250, 0.250, 0.714], [0.750, 0.750, 0.286]],
  "n_ef_per_ev_fu": 1.0,
  "volume_a3_per_cell": 113.7
}

Which structure wins on stability? arrangement R wins.